An optimized crystal structure of TlHg2Cl. Source: the Alexandria database, functional GGA-PBE. Values from VASP.

Cell and atoms, written as Quantum ESPRESSO input:
```
&SYSTEM
  ibrav = 0, nat = 4, ntyp = 3
/
ATOMIC_SPECIES
Tl 204.38 Tl.upf
Hg 200.59 Hg.upf
Cl 35.45 Cl.upf
CELL_PARAMETERS angstrom
0.000 3.926 3.926
3.926 0.000 3.926
3.926 3.926 0.000
ATOMIC_POSITIONS crystal
Tl 0.000 0.000 0.000
Hg 0.250 0.250 0.250
Hg 0.750 0.750 0.750
Cl 0.500 0.500 0.500
```

Results
Energy above the lowest structure with this stoichiometry   162 meV/atom

=====

An optimized crystal structure of Tl3HgCl6. Source: the Alexandria database, functional GGA-PBE. Values from VASP.

Cell and atoms, written as Quantum ESPRESSO input:
```
&SYSTEM
  ibrav = 0, nat = 20, ntyp = 3
/
ATOMIC_SPECIES
Tl 204.38 Tl.upf
Hg 200.59 Hg.upf
Cl 35.45 Cl.upf
CELL_PARAMETERS angstrom
6.086 -7.543 0.000
6.086 7.543 0.000
0.000 0.000 7.367
ATOMIC_POSITIONS crystal
Tl 0.085 0.915 0.500
Tl 0.214 0.418 0.588
Tl 0.418 0.214 0.088
Tl 0.582 0.786 0.588
Tl 0.786 0.582 0.088
Tl 0.915 0.085 0.000
Hg 0.297 0.703 0.135
Hg 0.703 0.297 0.635
Cl 0.070 0.628 0.335
Cl 0.110 0.172 0.290
Cl 0.172 0.110 0.790
Cl 0.277 0.723 0.806
Cl 0.372 0.930 0.335
Cl 0.453 0.547 0.268
Cl 0.547 0.453 0.768
Cl 0.628 0.070 0.835
Cl 0.723 0.277 0.306
Cl 0.828 0.890 0.290
Cl 0.890 0.828 0.790
Cl 0.930 0.372 0.835
```

Results
Energy above the lowest structure with this stoichiometry   11 meV/atom

=====

An optimized crystal structure of Tl4HgCl4. Source: the Alexandria database, functional GGA-PBE. Values from VASP.

Cell and atoms, written as Quantum ESPRESSO input:
```
&SYSTEM
  ibrav = 0, nat = 9, ntyp = 3
/
ATOMIC_SPECIES
Tl 204.38 Tl.upf
Hg 200.59 Hg.upf
Cl 35.45 Cl.upf
CELL_PARAMETERS angstrom
-5.216 5.216 3.205
5.216 -5.216 3.205
5.216 5.216 -3.205
ATOMIC_POSITIONS crystal
Tl 0.117 0.681 0.799
Tl 0.319 0.117 0.436
Tl 0.681 0.883 0.564
Tl 0.883 0.319 0.201
Hg 0.000 0.000 0.000
Cl 0.177 0.397 0.574
Cl 0.397 0.823 0.221
Cl 0.603 0.177 0.779
Cl 0.823 0.603 0.426
```

=====

An optimized crystal structure of TlHg4Cl. Source: the Alexandria database, functional GGA-PBE. Values from VASP.

Cell and atoms, written as Quantum ESPRESSO input:
```
&SYSTEM
  ibrav = 0, nat = 6, ntyp = 3
/
ATOMIC_SPECIES
Tl 204.38 Tl.upf
Hg 200.59 Hg.upf
Cl 35.45 Cl.upf
CELL_PARAMETERS angstrom
0.000 4.493 4.493
4.493 0.000 4.493
4.493 4.493 0.000
ATOMIC_POSITIONS crystal
Tl 0.000 0.000 0.000
Hg 0.376 0.376 0.376
Hg 0.376 0.376 0.873
Hg 0.376 0.873 0.376
Hg 0.873 0.376 0.376
Cl 0.750 0.750 0.750
```

=====

An optimized crystal structure of Tl6Hg23Cl. Source: the Alexandria database, functional GGA-PBE. Values from VASP.

Cell and atoms, written as Quantum ESPRESSO input:
```
&SYSTEM
  ibrav = 0, nat = 30, ntyp = 3
/
ATOMIC_SPECIES
Tl 204.38 Tl.upf
Hg 200.59 Hg.upf
Cl 35.45 Cl.upf
CELL_PARAMETERS angstrom
0.000 7.547 7.547
7.547 0.000 7.547
7.547 7.547 0.000
ATOMIC_POSITIONS crystal
Tl 0.222 0.222 0.778
Tl 0.222 0.778 0.222
Tl 0.222 0.778 0.778
Tl 0.778 0.222 0.222
Tl 0.778 0.222 0.778
Tl 0.778 0.778 0.222
Hg 0.000 0.000 0.500
Hg 0.000 0.500 0.000
Hg 0.000 0.500 0.500
Hg 0.139 0.620 0.620
Hg 0.162 0.162 0.162
Hg 0.162 0.162 0.515
Hg 0.162 0.515 0.162
Hg 0.380 0.380 0.380
Hg 0.380 0.380 0.861
Hg 0.380 0.861 0.380
Hg 0.485 0.838 0.838
Hg 0.500 0.000 0.000
Hg 0.500 0.000 0.500
Hg 0.500 0.500 0.000
Hg 0.500 0.500 0.500
Hg 0.515 0.162 0.162
Hg 0.620 0.139 0.620
Hg 0.620 0.620 0.139
Hg 0.620 0.620 0.620
Hg 0.838 0.485 0.838
Hg 0.838 0.838 0.485
Hg 0.838 0.838 0.838
Hg 0.861 0.380 0.380
Cl 0.000 0.000 0.000
```

=====

An optimized crystal structure of Tl2HgCl4. Source: the Alexandria database, functional GGA-PBE. Values from VASP.

Cell and atoms, written as Quantum ESPRESSO input:
```
&SYSTEM
  ibrav = 0, nat = 14, ntyp = 3
/
ATOMIC_SPECIES
Tl 204.38 Tl.upf
Hg 200.59 Hg.upf
Cl 35.45 Cl.upf
CELL_PARAMETERS angstrom
7.599 0.000 0.000
0.000 7.458 0.000
-2.730 0.000 8.382
ATOMIC_POSITIONS crystal
Tl 0.208 0.250 0.055
Tl 0.243 0.250 0.556
Tl 0.757 0.750 0.444
Tl 0.792 0.750 0.945
Hg 0.258 0.750 0.807
Hg 0.742 0.250 0.193
Cl 0.013 0.003 0.743
Cl 0.013 0.497 0.743
Cl 0.442 0.750 0.616
Cl 0.449 0.750 0.096
Cl 0.551 0.250 0.904
Cl 0.558 0.250 0.384
Cl 0.987 0.503 0.257
Cl 0.987 0.997 0.257
```

Results
Energy above the lowest structure with this stoichiometry   6 meV/atom

=====

Magnetic moment in μB/cell, matching the order above: 0.000, 0.000, 0.000, 0.000, 0.000, 0.000
Energy in eV per cell, matching the order above: -6.1, -52.6, -24.9, -6.6, -24.7, -36.5
Energy relative to the elements, uncorrected in kJ/mol of atoms, matching the order above: -30.23, -75.38, -83.38, -18.67, -5.62, -80.28